No. 1
Material: SrAsH2
Method: DFT, GGA-PBE
State: optimized geometry

Structure (POSCAR):
```
SrAsH2
1.0
0.7380 -0.7514 4.2289
-0.2199 3.2757 2.8660
-3.2901 0.1827 2.8522
Sr As H
1 1 2
Direct
0.5000 0.5000 0.5000
0.0000 0.0000 0.0000
0.2500 0.2500 0.2500
0.7500 0.7500 0.7500
```

Summary:
**ρ**: 4.7 Mg/m³
**N(E_F)**: 1.65 states/eV/f.u.
**Crystal system**: cubic
**Space group**: No. 225
**Energy above the lowest structure with this stoichiometry**: 270 meV per atom

No. 2
Material: Sr2AsH
Method: DFT, GGA-PBE
State: optimized geometry

Structure (POSCAR):
```
Sr2AsH
1.0
6.0457 0.0000 0.0000
0.0000 6.0457 0.0000
3.0229 3.0229 7.0396
Sr As H
4 2 2
Direct
0.5790 0.1250 0.2500
0.1710 0.6250 0.2500
0.3750 0.4210 0.7500
0.8750 0.8290 0.7500
0.0000 0.0000 0.0000
0.7500 0.2500 0.5000
0.5000 0.5000 0.0000
0.2500 0.7500 0.5000
```

Summary:
**ρ**: 3.2 Mg/m³
**N(E_F)**: 0.00 states/eV/f.u.
**Crystal system**: tetragonal
**Space group**: No. 122
**Energy above the lowest structure with this stoichiometry**: 297 meV per atom

No. 3
Material: Sr2AsH
Method: DFT, GGA-PBE
State: optimized geometry

Structure (POSCAR):
```
Sr2AsH
1.0
4.4910 0.0000 0.0000
2.2455 3.8894 0.0000
2.2455 1.2965 6.3560
Sr As H
2 1 1
Direct
0.2495 0.2495 0.2515
0.7505 0.7505 0.7485
0.0000 0.0000 0.0000
0.5000 0.5000 0.5000
```

Summary:
**ρ**: 3.8 Mg/m³
**Crystal system**: trigonal
**Space group**: No. 166
**Energy above the lowest structure with this stoichiometry**: 125 meV per atom

No. 4
Material: SrAsH
Method: DFT, GGA-PBE
State: optimized geometry

Structure (POSCAR):
```
SrAsH
1.0
-3.0917 1.1885 -2.8265
0.8941 -3.9269 -2.6293
-8.7518 -6.5564 6.8160
Sr As H
4 4 4
Direct
0.3171 0.4996 0.6231
0.1829 0.5004 0.1231
0.6829 0.9996 0.8769
0.8171 0.0004 0.3769
0.8149 0.9996 0.6312
0.6851 0.0004 0.1312
0.1851 0.4996 0.8688
0.3149 0.5004 0.3688
0.5212 0.9994 0.5601
0.9788 0.0006 0.0601
0.4788 0.4994 0.9399
0.0212 0.5006 0.4399
```

Summary:
**ρ**: 4.0 Mg/m³
**Crystal system**: orthorhombic
**Space group**: No. 62
**Energy above the lowest structure with this stoichiometry**: 4 meV per atom

No. 5
Material: Sr2AsH
Method: DFT, GGA-PBE
State: optimized geometry

Structure (POSCAR):
```
Sr2AsH
1.0
4.3753 0.0000 0.0000
2.1876 3.7891 0.0000
2.1876 1.2630 7.2834
Sr As H
2 1 1
Direct
0.0787 0.0787 0.7639
0.2602 0.2602 0.2194
0.6684 0.6684 0.9948
0.4927 0.4927 0.5219
```

Summary:
**ρ**: 3.5 Mg/m³
**Crystal system**: trigonal
**Space group**: No. 160
**Energy above the lowest structure with this stoichiometry**: 215 meV per atom

No. 6
Material: SrAs3H
Method: DFT, GGA-PBE
State: optimized geometry

Structure (POSCAR):
```
SrAs3H
1.0
4.5397 0.0000 0.0000
0.0000 4.5397 0.0000
0.0000 0.0000 4.5397
Sr As H
1 3 1
Direct
0.5000 0.5000 0.5000
0.0000 0.5000 0.0000
0.0000 0.0000 0.5000
0.5000 0.0000 0.0000
0.0000 0.0000 0.0000
```

Summary:
**ρ**: 5.6 Mg/m³
**N(E_F)**: 2.49 states/eV/f.u.
**Crystal system**: cubic
**Space group**: No. 221
**Energy above the lowest structure with this stoichiometry**: 0 meV per atom

No. 7
Material: SrAs3H
Method: DFT, GGA-PBE
State: optimized geometry

Structure (POSCAR):
```
SrAs3H
1.0
5.7877 0.0000 0.0000
0.0000 5.7877 0.0000
0.0000 0.0000 5.7877
Sr As H
1 3 1
Direct
0.0000 0.0000 0.0000
0.0000 0.5000 0.0000
0.0000 0.0000 0.5000
0.5000 0.0000 0.0000
0.5000 0.5000 0.5000
```

Summary:
**ρ**: 2.7 Mg/m³
**N(E_F)**: 5.07 states/eV/f.u.
**Crystal system**: cubic
**Space group**: No. 221
**Energy above the lowest structure with this stoichiometry**: 1441 meV per atom

No. 8
Material: SrAsH2
Method: DFT, GGA-PBE
State: optimized geometry

Structure (POSCAR):
```
SrAsH2
1.0
-3.2389 1.9058 -2.3212
-2.9613 -1.4575 2.9354
-2.3287 5.9392 3.9231
Sr As H
2 2 4
Direct
0.0000 0.0000 0.0000
0.7500 0.2500 0.5000
0.5000 0.5000 0.0000
0.2500 0.7500 0.5000
0.4591 0.1250 0.2500
0.2909 0.6250 0.2500
0.3750 0.5409 0.7500
0.8750 0.7091 0.7500
```

Summary:
**ρ**: 4.1 Mg/m³
**N(E_F)**: 1.21 states/eV/f.u.
**Crystal system**: tetragonal
**Space group**: No. 122
**Energy above the lowest structure with this stoichiometry**: 237 meV per atom

Which of these has the highest energy above the lowest structure with this stoichiometry?
number 7

Which of these has the lowest ρ?
number 7